Record 1
Entry from Alexandria via LeMat-Bulk: crystalline Ca3GaCo at its relaxed geometry (PBE-GGA).

Structure (POSCAR):
```
Ca3GaCo
1.0
-1.677 -4.716 1.712
1.245 -2.140 -4.675
4.860 -1.079 1.788
Co Ca Ga
1 3 1
Cartesian
0.000 0.000 0.000
2.430 -0.540 0.894
-0.839 -2.358 0.856
0.622 -1.070 -2.337
2.214 -3.967 -0.587
```

Summary:
* ΔE to the lowest computed polymorph: 0 meV per atom
* energy relative to the elements: 0.166 eV per atom
* Fermi-level density of states: 1.010 states/eV per atom
* total magnetization: 0.00 μB per formula unit

***

Record 2
Entry from Alexandria via LeMat-Bulk: crystalline Ac3Sn at its relaxed geometry (PBE-GGA).

Structure (POSCAR):
```
Ac3Sn
1.0
-0.355 -2.124 -4.857
5.258 0.486 -0.597
0.683 -4.846 2.069
Ac Sn
3 1
Cartesian
2.508 -1.221 -2.555
0.057 -0.405 0.173
3.028 -2.584 0.908
0.221 -3.889 -1.221
```

Summary:
* ΔE to the lowest computed polymorph: 52 meV per atom
* energy relative to the elements: -0.335 eV per atom
* Fermi-level density of states: 1.412 states/eV per atom
* total magnetization: 0.00 μB per formula unit

***

Record 3
Entry from Alexandria via LeMat-Bulk: crystalline Zn2SbCl at its relaxed geometry (PBE-GGA).

Structure (POSCAR):
```
Zn2SbCl
1.0
5.047 0.003 0.000
-0.004 5.047 0.000
0.000 0.000 3.295
Zn Cl Sb
2 1 1
Cartesian
2.521 2.525 0.000
0.000 0.000 0.000
2.523 0.002 1.648
-0.002 2.523 1.648
```

Summary:
* ΔE to the lowest computed polymorph: 318 meV per atom
* Fermi-level density of states: 0.358 states/eV per atom
* total magnetization: 0.00 μB per formula unit

***

Record 4
Entry from Alexandria via LeMat-Bulk: crystalline NdZrPb2 at its relaxed geometry (PBE-GGA).

Structure (POSCAR):
```
NdZrPb2
1.0
4.536 0.000 0.000
0.000 4.875 0.000
0.000 0.000 4.875
Zr Nd Pb
1 1 2
Cartesian
2.268 0.000 0.000
2.268 2.438 2.438
0.000 2.438 0.000
0.000 0.000 2.438
```

Summary:
* energy relative to the elements: -0.240 eV per atom
* Fermi-level density of states: 0.909 states/eV per atom
* total magnetization: 0.00 μB per formula unit